1.
First-principles (PBE) data for a geometry-optimized Ti2IrPt5 structure, as listed in Alexandria via LeMat-Bulk.

magnetization	0.00	μB per atom
calculated volume	15.2	A^3/atom
DOS(E_F)	4.42	states/eV/f.u.
DFT formation energy	-6.8	eV/f.u.
DFT total energy	-7.705	eV per atom

Cell and atoms, written as CIF:
```
data_Ti2IrPt5
_symmetry_space_group_name_H-M 'P b a m'
_symmetry_Int_Tables_number 55
_symmetry_space_group_name_Hall '-P 2 2ab'
_cell_length_a 5.574
_cell_length_b 11.154
_cell_length_c 3.916
_cell_angle_alpha 90.00
_cell_angle_beta 90.00
_cell_angle_gamma 90.00
loop_
_atom_site_label
_atom_site_fract_x
_atom_site_fract_y
_atom_site_fract_z
Ti1 0.241 0.122 0.000
Ir1 0.000 0.000 0.500
Pt1 0.000 0.500 0.500
Pt2 0.001 0.751 0.500
Pt3 0.248 0.877 0.000
```

---

2.
First-principles (PBE) data for a geometry-optimized TiIrPt3 structure, as listed in Alexandria via LeMat-Bulk.

magnetization	0.00	μB per atom
calculated volume	15.3	A^3/atom
DOS(E_F)	3.95	states/eV/f.u.
DFT formation energy	-2.9	eV/f.u.
DFT total energy	-7.565	eV per atom

Cell and atoms, written as CIF:
```
data_TiIrPt3
_symmetry_space_group_name_H-M 'C 1 2/m 1'
_symmetry_Int_Tables_number 12
_symmetry_space_group_name_Hall '-C 2y'
_cell_length_a 14.259
_cell_length_b 3.927
_cell_length_c 5.576
_cell_angle_alpha 90.00
_cell_angle_beta 101.27
_cell_angle_gamma 90.00
loop_
_atom_site_label
_atom_site_fract_x
_atom_site_fract_y
_atom_site_fract_z
Ti1 0.108 0.000 0.048
Ir1 0.200 0.500 0.851
Pt1 0.001 0.500 0.756
Pt2 0.103 0.000 0.555
Pt3 0.194 0.500 0.340
```

---

3.
First-principles (PBE) data for a geometry-optimized TiIr2Pt structure, as listed in Alexandria via LeMat-Bulk.

magnetization	0.00	μB per atom
calculated volume	16.4	A^3/atom
DOS(E_F)	3.96	states/eV/f.u.
DFT formation energy	-0.5	eV/f.u.
DFT total energy	-8.050	eV per atom

Cell and atoms, written as CIF:
```
data_TiIr2Pt
_symmetry_space_group_name_H-M 'I -4 2 d'
_symmetry_Int_Tables_number 122
_symmetry_space_group_name_Hall 'I -4 2bw'
_cell_length_a 3.819
_cell_length_b 3.819
_cell_length_c 18.041
_cell_angle_alpha 90.00
_cell_angle_beta 90.00
_cell_angle_gamma 90.00
loop_
_atom_site_label
_atom_site_fract_x
_atom_site_fract_y
_atom_site_fract_z
Ti1 0.000 0.000 0.000
Ir1 0.242 0.250 0.625
Pt1 0.000 0.000 0.500
```

---

4.
First-principles (PBE) data for a geometry-optimized Ti11Ir9Pt4 structure, as listed in Alexandria via LeMat-Bulk.

magnetization	0.01	μB per atom
calculated volume	15.3	A^3/atom
DOS(E_F)	14.27	states/eV/f.u.
DFT formation energy	-20.1	eV/f.u.
DFT total energy	-8.788	eV per atom

Cell and atoms, written as CIF:
```
data_Ti11Ir9Pt4
_symmetry_space_group_name_H-M 'C m m m'
_symmetry_Int_Tables_number 65
_symmetry_space_group_name_Hall '-C 2 2'
_cell_length_a 13.501
_cell_length_b 18.521
_cell_length_c 2.937
_cell_angle_alpha 90.00
_cell_angle_beta 90.00
_cell_angle_gamma 90.00
loop_
_atom_site_label
_atom_site_fract_x
_atom_site_fract_y
_atom_site_fract_z
Ti1 0.000 0.000 0.000
Ti2 0.000 0.193 0.000
Ti3 0.000 0.378 0.000
Ti4 0.195 0.000 0.000
Ti5 0.236 0.177 0.000
Ir1 0.000 0.500 0.500
Ir2 0.108 0.104 0.500
Ir3 0.111 0.277 0.500
Pt1 0.171 0.425 0.500
```

---

5.
First-principles (PBE) data for a geometry-optimized TiIrPt structure, as listed in Alexandria via LeMat-Bulk.

magnetization	0.00	μB per atom
calculated volume	15.3	A^3/atom
DOS(E_F)	1.53	states/eV/f.u.
DFT formation energy	-2.0	eV/f.u.
DFT total energy	-8.258	eV per atom

Cell and atoms, written as CIF:
```
data_TiIrPt
_symmetry_space_group_name_H-M 'I 4 m m'
_symmetry_Int_Tables_number 107
_symmetry_space_group_name_Hall 'I 4 -2'
_cell_length_a 2.849
_cell_length_b 2.849
_cell_length_c 11.348
_cell_angle_alpha 90.00
_cell_angle_beta 90.00
_cell_angle_gamma 90.00
loop_
_atom_site_label
_atom_site_fract_x
_atom_site_fract_y
_atom_site_fract_z
Ti1 0.000 0.000 0.000
Ir1 0.000 0.000 0.353
Pt1 0.000 0.000 0.667
```

---

6.
First-principles (PBE) data for a geometry-optimized Ti4Ir2Pt structure, as listed in Alexandria via LeMat-Bulk.

magnetization	0.00	μB per atom
calculated volume	16.6	A^3/atom
DOS(E_F)	7.34	states/eV/f.u.
DFT formation energy	-5.0	eV/f.u.
DFT total energy	-8.617	eV per atom

Cell and atoms, written as CIF:
```
data_Ti4Ir2Pt
_symmetry_space_group_name_H-M 'C 1 2/m 1'
_symmetry_Int_Tables_number 12
_symmetry_space_group_name_Hall '-C 2y'
_cell_length_a 7.599
_cell_length_b 4.400
_cell_length_c 7.380
_cell_angle_alpha 90.00
_cell_angle_beta 109.98
_cell_angle_gamma 90.00
loop_
_atom_site_label
_atom_site_fract_x
_atom_site_fract_y
_atom_site_fract_z
Ti1 0.114 0.000 0.342
Ti2 0.132 0.500 0.895
Ir1 0.246 0.000 0.737
Pt1 0.000 0.500 0.500
```

---

7.
First-principles (PBE) data for a geometry-optimized Ti3Ir2Pt structure, as listed in Alexandria via LeMat-Bulk.

magnetization	0.00	μB per atom
calculated volume	15.3	A^3/atom
DOS(E_F)	6.55	states/eV/f.u.
DFT formation energy	-5.2	eV/f.u.
DFT total energy	-8.771	eV per atom

Cell and atoms, written as CIF:
```
data_Ti3Ir2Pt
_symmetry_space_group_name_H-M 'P 4/m m m'
_symmetry_Int_Tables_number 123
_symmetry_space_group_name_Hall '-P 4 2'
_cell_length_a 2.911
_cell_length_b 2.911
_cell_length_c 10.835
_cell_angle_alpha 90.00
_cell_angle_beta 90.00
_cell_angle_gamma 90.00
loop_
_atom_site_label
_atom_site_fract_x
_atom_site_fract_y
_atom_site_fract_z
Ti1 0.000 0.000 0.000
Ti2 0.000 0.000 0.323
Ir1 0.500 0.500 0.161
Pt1 0.500 0.500 0.500
```

---

8.
First-principles (PBE) data for a geometry-optimized TiIrPt structure, as listed in Alexandria via LeMat-Bulk.

magnetization	0.00	μB per atom
calculated volume	15.3	A^3/atom
DOS(E_F)	3.61	states/eV/f.u.
DFT formation energy	-2.1	eV/f.u.
DFT total energy	-8.298	eV per atom

Cell and atoms, written as CIF:
```
data_TiIrPt
_symmetry_space_group_name_H-M 'C m c m'
_symmetry_Int_Tables_number 63
_symmetry_space_group_name_Hall '-C 2c 2'
_cell_length_a 4.412
_cell_length_b 7.627
_cell_length_c 5.469
_cell_angle_alpha 90.00
_cell_angle_beta 90.00
_cell_angle_gamma 90.00
loop_
_atom_site_label
_atom_site_fract_x
_atom_site_fract_y
_atom_site_fract_z
Ti1 0.000 0.166 0.250
Ir1 0.000 0.168 0.750
Pt1 0.000 0.500 0.000
```

---

9.
First-principles (PBE) data for a geometry-optimized TiTlIr2Pt structure, as listed in Alexandria via LeMat-Bulk.

magnetization	0.39	μB per atom
calculated volume	22.6	A^3/atom
DOS(E_F)	6.37	states/eV/f.u.
DFT formation energy	5.4	eV/f.u.
DFT total energy	-5.727	eV per atom

Cell and atoms, written as CIF:
```
data_TiTlIr2Pt
_symmetry_space_group_name_H-M 'P 4/m m m'
_symmetry_Int_Tables_number 123
_symmetry_space_group_name_Hall '-P 4 2'
_cell_length_a 4.952
_cell_length_b 4.952
_cell_length_c 4.600
_cell_angle_alpha 90.00
_cell_angle_beta 90.00
_cell_angle_gamma 90.00
loop_
_atom_site_label
_atom_site_fract_x
_atom_site_fract_y
_atom_site_fract_z
Ti1 0.000 0.000 0.000
Tl1 0.500 0.500 0.000
Ir1 0.000 0.500 0.500
Pt1 0.000 0.000 0.500
```

---

10.
First-principles (PBE) data for a geometry-optimized Ti5Ir2Pt2W structure, as listed in Alexandria via LeMat-Bulk.

magnetization	0.00	μB per atom
calculated volume	17.1	A^3/atom
DOS(E_F)	7.98	states/eV/f.u.
DFT formation energy	-3.9	eV/f.u.
DFT total energy	-8.609	eV per atom

Cell and atoms, written as CIF:
```
data_Ti5Ir2Pt2W
_symmetry_space_group_name_H-M 'P 4/m b m'
_symmetry_Int_Tables_number 127
_symmetry_space_group_name_Hall '-P 4 2ab'
_cell_length_a 10.845
_cell_length_b 10.845
_cell_length_c 2.903
_cell_angle_alpha 90.00
_cell_angle_beta 90.00
_cell_angle_gamma 90.00
loop_
_atom_site_label
_atom_site_fract_x
_atom_site_fract_y
_atom_site_fract_z
Ti1 0.000 0.500 0.000
Ti2 0.139 0.157 0.000
Ir1 0.144 0.356 0.500
Pt1 0.151 0.651 0.500
W1 0.000 0.000 0.500
```

---

11.
First-principles (PBE) data for a geometry-optimized YTiIr2Pt structure, as listed in Alexandria via LeMat-Bulk.

magnetization	0.01	μB per atom
calculated volume	23.9	A^3/atom
DOS(E_F)	8.42	states/eV/f.u.
DFT formation energy	7.4	eV/f.u.
DFT total energy	-6.142	eV per atom

Cell and atoms, written as CIF:
```
data_YTiIr2Pt
_symmetry_space_group_name_H-M 'P 4/m m m'
_symmetry_Int_Tables_number 123
_symmetry_space_group_name_Hall '-P 4 2'
_cell_length_a 4.906
_cell_length_b 4.906
_cell_length_c 4.956
_cell_angle_alpha 90.00
_cell_angle_beta 90.00
_cell_angle_gamma 90.00
loop_
_atom_site_label
_atom_site_fract_x
_atom_site_fract_y
_atom_site_fract_z
Y1 0.000 0.000 0.000
Ti1 0.500 0.500 0.500
Ir1 0.000 0.500 0.000
Pt1 0.000 0.000 0.500
```

---

12.
First-principles (PBE) data for a geometry-optimized Tl2IrPt structure, as listed in Alexandria via LeMat-Bulk.

magnetization	0.00	μB per atom
calculated volume	20.0	A^3/atom
DOS(E_F)	1.70	states/eV/f.u.
DFT formation energy	1.6	eV/f.u.
DFT total energy	-4.509	eV per atom

Cell and atoms, written as CIF:
```
data_Tl2IrPt
_symmetry_space_group_name_H-M 'P m m 2'
_symmetry_Int_Tables_number 25
_symmetry_space_group_name_Hall 'P 2 -2'
_cell_length_a 3.108
_cell_length_b 4.532
_cell_length_c 5.692
_cell_angle_alpha 90.00
_cell_angle_beta 90.00
_cell_angle_gamma 90.00
loop_
_atom_site_label
_atom_site_fract_x
_atom_site_fract_y
_atom_site_fract_z
Tl1 0.000 0.000 0.000
Tl2 0.500 0.500 0.393
Ir1 0.000 0.000 0.499
Pt1 0.500 0.500 0.880
```

---

13.
First-principles (PBE) data for a geometry-optimized TlIrPt2 structure, as listed in Alexandria via LeMat-Bulk.

magnetization	0.12	μB per atom
calculated volume	17.4	A^3/atom
DOS(E_F)	5.66	states/eV/f.u.
DFT formation energy	1.3	eV/f.u.
DFT total energy	-5.503	eV per atom

Cell and atoms, written as CIF:
```
data_TlIrPt2
_symmetry_space_group_name_H-M 'R -3 m'
_symmetry_Int_Tables_number 166
_symmetry_space_group_name_Hall '-R 3 2"'
_cell_length_a 2.9438
_cell_length_b 2.9438
_cell_length_c 27.8670
_cell_angle_alpha 90.00
_cell_angle_beta 90.00
_cell_angle_gamma 120.00
loop_
_atom_site_label
_atom_site_fract_x
_atom_site_fract_y
_atom_site_fract_z
Tl1 0.0000 0.0000 0.0000
Ir1 0.0000 0.0000 0.5000
Pt1 0.0000 0.0000 0.2433
```